(1)
# PbCF3 PBE optimized geometry
# Calculated density ... 6.7 g cm⁻³
# Energy relative to the lowest polymorph listed for this composition ... 0.000 eV per atom
data_PbCF3
_chemical_formula_sum 'Pb1 C1 F3'
_cell_length_a 4.100
_cell_length_b 4.100
_cell_length_c 4.100
_cell_angle_alpha 90.00
_cell_angle_beta 90.00
_cell_angle_gamma 90.00
_symmetry_space_group_name_H-M 'P m -3 m'
_symmetry_Int_Tables_number 221
_symmetry_space_group_name_Hall '-P 4 2 3'
loop_
_atom_site_label
_atom_site_fract_x
_atom_site_fract_y
_atom_site_fract_z
Pb1 0.000 0.000 0.000
C1 0.500 0.500 0.500
F1 0.000 0.500 0.500

---

(2)
# PbC2F PBE optimized geometry
# Calculated density ... 8.2 g cm⁻³
# Energy relative to the lowest polymorph listed for this composition ... 0.935 eV per atom
data_PbC2F
_chemical_formula_sum 'Pb4 C8 F4'
_cell_length_a 5.866
_cell_length_b 5.866
_cell_length_c 5.866
_cell_angle_alpha 90.00
_cell_angle_beta 90.00
_cell_angle_gamma 90.00
_symmetry_space_group_name_H-M 'F m -3 m'
_symmetry_Int_Tables_number 225
_symmetry_space_group_name_Hall '-F 4 2 3'
loop_
_atom_site_label
_atom_site_fract_x
_atom_site_fract_y
_atom_site_fract_z
Pb1 0.000 0.000 0.000
C1 0.250 0.250 0.250
F1 0.000 0.000 0.500

---

Summary of size of the total moment in μB/f.u.
0.89 0.00
(order as listed above)